1.
First-principles (PBE) data for a relaxed structure of Ni2MoRh2, as listed in the Alexandria database.

a b c (Å): 3.688 4.601 8.502
angles (deg): 90.72 90.00 113.63
Element x y z (fractional)
Ni  0.347  0.694  0.455
Ni  0.447  0.894  0.159
Ni  0.653  0.306  0.545
Ni  0.553  0.106  0.841
Mo  0.747  0.494  0.253
Mo  0.253  0.506  0.747
Rh  0.952  0.904  0.646
Rh  0.149  0.298  0.051
Rh  0.048  0.096  0.354
Rh  0.851  0.702  0.949

SG: C2/m
Energy relative to the elements (meV per atom): -104
Energy above the most stable polymorph in this dataset (eV/atom): 0.000


2.
First-principles (PBE) data for a relaxed structure of RbSnB, as listed in the Alexandria database.

a b c (Å): 11.905 3.254 9.292
angles (deg): 90.00 90.00 90.00
Element x y z (fractional)
B  0.000  0.000  0.000
B  0.500  0.500  0.500
B  0.500  0.000  0.500
B  0.000  0.500  0.000
Sn  0.996  0.250  0.250
Sn  0.504  0.750  0.750
Sn  0.004  0.750  0.750
Sn  0.496  0.250  0.250
Rb  0.762  0.250  0.524
Rb  0.738  0.750  0.024
Rb  0.238  0.750  0.476
Rb  0.262  0.250  0.976

SG: Pnma
Energy relative to the elements (meV per atom): 253


3.
First-principles (PBE) data for a relaxed structure of LuPaHgPb, as listed in the Alexandria database.

a b c (Å): 5.309 5.309 5.309
angles (deg): 60.00 60.00 60.00
Last column: magnetic moment on the atom in μB.
Element x y z (fractional)
Pb  0.250  0.250  0.250  -0.01
Pa  0.000  0.000  0.000  0.96
Lu  0.500  0.500  0.500  0.15
Hg  0.750  0.750  0.750  0.01

SG: F-43m
Energy relative to the elements (meV per atom): -22


4.
First-principles (PBE) data for a relaxed structure of RbCd3Pt, as listed in the Alexandria database.

a b c (Å): 13.942 13.942 5.168
angles (deg): 90.00 90.00 145.84
Element x y z (fractional)
Rb  0.135  0.865  0.250
Rb  0.865  0.135  0.750
Pt  0.255  0.745  0.250
Pt  0.745  0.255  0.750
Cd  0.914  0.421  0.250
Cd  0.579  0.086  0.250
Cd  0.421  0.914  0.750
Cd  0.086  0.579  0.750
Cd  0.000  0.000  0.000
Cd  0.000  0.000  0.500

SG: Cmcm
Energy relative to the elements (meV per atom): 89
Energy above the most stable polymorph in this dataset (eV/atom): 0.339


Size of the total moment list, top to bottom, in μB/f.u.: 0.0, 0.0, 1.4, 0.0